Model a:
Here is a geometry-optimized Mn2NiW structure from Alexandria. Energies are from PBE.

Properties
volume: 50.8 Å³/cell
space-group type: Fm-3m

Lattice parameters (Å, degrees): 4.158 4.158 4.158 60.00 60.00 60.00
Element x y z (fractional)
Mn: 0.250 0.250 0.250
Mn: 0.750 0.750 0.750
Ni: 0.000 0.000 0.000
W: 0.500 0.500 0.500



Model b:
Here is a geometry-optimized Mn2NiW structure from Alexandria. Energies are from PBE.

Properties
volume: 51.4 Å³/cell
space-group type: P4mm

Lattice parameters (Å, degrees): 2.641 2.641 7.364 90.00 90.00 90.00
Element x y z (fractional)
Mn: 0.000 0.000 0.000
Mn: 0.500 0.500 0.227
Ni: 0.000 0.000 0.469
W: 0.500 0.500 0.726



Relative energies with respect to the most stable structure, expressed in eV/atom: model a 0.000; model b 0.010.



Model a:
Here is a geometry-optimized Mn2NiW structure from Alexandria. Energies are from PBE.

Properties
volume: 51.0 Å³/cell
space-group type: Cm

Lattice parameters (Å, degrees): 4.522 4.522 4.489 100.88 100.88 34.49
Element x y z (fractional)
Mn: 0.000 0.000 0.000
Mn: 0.745 0.745 0.214
Ni: 0.490 0.490 0.479
W: 0.243 0.243 0.710



Model b:
Here is a geometry-optimized Mn2NiW structure from Alexandria. Energies are from PBE.

Properties
volume: 53.7 Å³/cell
space-group type: R-3m

Lattice parameters (Å, degrees): 8.593 8.593 8.593 18.14 18.14 18.14
Element x y z (fractional)
Mn: 0.245 0.245 0.245
Mn: 0.755 0.755 0.755
Ni: 0.500 0.500 0.500
W: 0.000 0.000 0.000



Relative energies with respect to the most stable structure, expressed in eV/atom: model a 0.000; model b 0.126.



Model a:
Here is a geometry-optimized MnNiW2 structure from Alexandria. Energies are from PBE.

Properties
volume: 54.9 Å³/cell
space-group type: Cm

Lattice parameters (Å, degrees): 4.631 4.631 4.624 99.88 99.88 34.24
Element x y z (fractional)
Mn: 0.000 0.000 0.000
Ni: 0.265 0.265 0.735
W: 0.519 0.519 0.529
W: 0.753 0.753 0.218



Model b:
Here is a geometry-optimized MnNiW2 structure from Alexandria. Energies are from PBE.

Properties
volume: 54.3 Å³/cell
space-group type: Fm-3m

Lattice parameters (Å, degrees): 4.250 4.250 4.250 60.00 60.00 60.00
Element x y z (fractional)
Mn: 0.000 0.000 0.000
Ni: 0.500 0.500 0.500
W: 0.250 0.250 0.250
W: 0.750 0.750 0.750



Relative energies with respect to the most stable structure, expressed in eV/atom: model a 0.000; model b 0.095.